(1)
Here is crystalline As2Cl at its relaxed geometry from the Alexandria database. Energies are from PBE.

Unit cell a=6.1966 b=6.1966 c=9.4375 alpha=111.89 beta=111.89 gamma=34.26
Positions (direct):
As 0.1153 0.1153 0.0526
As 0.3778 0.3778 0.7591
As 0.6222 0.6222 0.2409
As 0.8847 0.8847 0.9474
Cl 0.1739 0.1739 0.6377
Cl 0.8261 0.8261 0.3623

Output
SG = C2/m, No. 12
Distance to the lowest polymorph of the same formula = 0 meV per atom

(2)
Here is crystalline CdAuI at its relaxed geometry from the Alexandria database. Energies are from PBE.

Unit cell a=7.3826 b=7.1802 c=7.0380 alpha=90.00 beta=112.64 gamma=90.00
Positions (direct):
Cd 0.0662 0.1141 0.2076
Cd 0.0662 0.3859 0.7076
Cd 0.9338 0.6141 0.2924
Cd 0.9338 0.8859 0.7924
Au 0.2227 0.7270 0.6916
Au 0.2227 0.7730 0.1916
Au 0.7773 0.2270 0.8084
Au 0.7773 0.2730 0.3084
I 0.3672 0.1021 0.7036
I 0.3672 0.3979 0.2036
I 0.6328 0.6021 0.7964
I 0.6328 0.8979 0.2964

Output
SG = P2_1/c, No. 14
Distance to the lowest polymorph of the same formula = 77 meV per atom

(3)
Here is crystalline CsTbMg2Cl8 at its relaxed geometry from the Alexandria database. Energies are from PBE.

Unit cell a=6.6494 b=6.7672 c=9.4433 alpha=72.14 beta=74.19 gamma=72.69
Positions (direct):
Cs 0.0000 0.0000 0.0000
Tb 0.0000 0.0000 0.5000
Mg 0.4607 0.4521 0.2095
Mg 0.5393 0.5479 0.7905
Cl 0.1841 0.7103 0.7255
Cl 0.2565 0.7755 0.3019
Cl 0.2808 0.2329 0.4439
Cl 0.3897 0.3007 0.0320
Cl 0.6103 0.6993 0.9680
Cl 0.7192 0.7671 0.5561
Cl 0.7435 0.2245 0.6981
Cl 0.8159 0.2897 0.2745

Output
SG = P-1, No. 2

(4)
Here is crystalline Al3PtS at its relaxed geometry from the Alexandria database. Energies are from PBE.

Unit cell a=4.5205 b=4.5205 c=4.5205 alpha=90.00 beta=90.00 gamma=90.00
Positions (direct):
Al 0.0000 0.0000 0.5000
Al 0.0000 0.5000 0.0000
Al 0.5000 0.0000 0.0000
Pt 0.5000 0.5000 0.5000
S 0.0000 0.0000 0.0000

Output
SG = Pm-3m, No. 221
Distance to the lowest polymorph of the same formula = 618 meV per atom

Raw formation energy across the listed records, respectively: -0.813, -0.456, -23.766, 1.720 eV/f.u..